# CeU2As3 | Alexandria via LeMat-Bulk | PBE-GGA | relaxed
# - Calculated total energy: -8.019 eV per atom
# - Energy of formation from the pure elements: -545.5 kJ/mol of formula units
# - Total moment: 5.697 μB/f.u.
data_CeU2As3
_cell_length_a 4.101
_cell_length_b 5.840
_cell_length_c 12.497
_cell_angle_alpha 90.00
_cell_angle_beta 90.00
_cell_angle_gamma 90.00
_symmetry_space_group_name_H-M 'I m m m'
_symmetry_Int_Tables_number 71
_symmetry_space_group_name_Hall '-I 2 2'
loop_
_atom_site_label
_atom_site_fract_x
_atom_site_fract_y
_atom_site_fract_z
Ce1 0.000 0.000 0.000
U1 0.000 0.000 0.335
As1 0.000 0.500 0.000
As2 0.000 0.500 0.329

=====

# CeU2As4 | Alexandria via LeMat-Bulk | PBE-GGA | relaxed
# - Calculated total energy: -7.443 eV per atom
# - Energy of formation from the pure elements: -481.7 kJ/mol of formula units
# - Total moment: 3.912 μB/f.u.
data_CeU2As4
_cell_length_a 4.066
_cell_length_b 13.510
_cell_length_c 13.135
_cell_angle_alpha 90.00
_cell_angle_beta 90.00
_cell_angle_gamma 90.00
_symmetry_space_group_name_H-M 'C m c m'
_symmetry_Int_Tables_number 63
_symmetry_space_group_name_Hall '-C 2c 2'
loop_
_atom_site_label
_atom_site_fract_x
_atom_site_fract_y
_atom_site_fract_z
Ce1 0.000 0.111 0.250
U1 0.000 0.366 0.062
As1 0.000 0.000 0.000
As2 0.000 0.267 0.628
As3 0.000 0.456 0.250

=====

# CeUAs | Alexandria via LeMat-Bulk | PBE-GGA | relaxed
# - Calculated total energy: -7.404 eV per atom
# - Energy of formation from the pure elements: -33.0 kJ/mol of formula units
# - Total moment: 2.580 μB/f.u.
data_CeUAs
_cell_length_a 4.9056
_cell_length_b 4.9056
_cell_length_c 3.0313
_cell_angle_alpha 90.00
_cell_angle_beta 90.00
_cell_angle_gamma 120.00
_symmetry_space_group_name_H-M 'P -6 m 2'
_symmetry_Int_Tables_number 187
_symmetry_space_group_name_Hall 'P -6 2'
loop_
_atom_site_label
_atom_site_fract_x
_atom_site_fract_y
_atom_site_fract_z
Ce1 0.0000 0.0000 0.0000
U1 0.6667 0.3333 0.0000
As1 0.3333 0.6667 0.5000

=====

# CeUAs | Alexandria via LeMat-Bulk | PBE-GGA | relaxed
# - Calculated total energy: -7.841 eV per atom
# - Energy of formation from the pure elements: -159.4 kJ/mol of formula units
# - Total moment: 3.126 μB/f.u.
data_CeUAs
_cell_length_a 6.020
_cell_length_b 4.391
_cell_length_c 10.769
_cell_angle_alpha 90.00
_cell_angle_beta 90.00
_cell_angle_gamma 90.00
_symmetry_space_group_name_H-M 'P n m a'
_symmetry_Int_Tables_number 62
loop_
_symmetry_equiv_pos_as_xyz
'x,y,z'
'-x,-y,-z'
'-x+1/2,-y,z+1/2'
'x+1/2,y,-z+1/2'
'x+1/2,-y+1/2,-z+1/2'
'-x+1/2,y+1/2,z+1/2'
'-x,y+1/2,-z'
'x,-y+1/2,z'
loop_
_atom_site_label
_atom_site_fract_x
_atom_site_fract_y
_atom_site_fract_z
Ce1 0.249 0.250 0.064
U1 0.002 0.250 0.750
As1 0.249 0.250 0.370

=====

# Ce2Y3UAs6 | Alexandria via LeMat-Bulk | PBE-GGA | relaxed
# - Calculated total energy: -7.243 eV per atom
# - Energy of formation from the pure elements: -1588.9 kJ/mol of formula units
# - Total moment: 3.898 μB/f.u.
data_Ce2Y3UAs6
_cell_length_a 18.098
_cell_length_b 4.141
_cell_length_c 8.317
_cell_angle_alpha 90.00
_cell_angle_beta 103.44
_cell_angle_gamma 90.00
_symmetry_space_group_name_H-M 'C 1 2/m 1'
_symmetry_Int_Tables_number 12
loop_
_symmetry_equiv_pos_as_xyz
'x,y,z'
'-x,-y,-z'
'-x,y,-z'
'x,-y,z'
'x+1/2,y+1/2,z'
'-x+1/2,-y+1/2,-z'
'-x+1/2,y+1/2,-z'
'x+1/2,-y+1/2,z'
loop_
_atom_site_label
_atom_site_fract_x
_atom_site_fract_y
_atom_site_fract_z
Ce1 0.166 0.000 0.332
Y1 0.000 0.500 0.500
Y2 0.168 0.000 0.833
U1 0.000 0.500 0.000
As1 0.002 0.000 0.754
As2 0.165 0.500 0.079
As3 0.166 0.500 0.585

=====

# CeZrU2As4 | Alexandria via LeMat-Bulk | PBE-GGA | relaxed
# - Calculated total energy: -7.942 eV per atom
# - Energy of formation from the pure elements: -760.3 kJ/mol of formula units
# - Total moment: 0.503 μB/f.u.
data_CeZrU2As4
_cell_length_a 7.009
_cell_length_b 4.032
_cell_length_c 7.074
_cell_angle_alpha 90.00
_cell_angle_beta 109.02
_cell_angle_gamma 90.00
_symmetry_space_group_name_H-M 'P 1 2/m 1'
_symmetry_Int_Tables_number 10
loop_
_symmetry_equiv_pos_as_xyz
'x,y,z'
'-x,-y,-z'
'-x,y,-z'
'x,-y,z'
loop_
_atom_site_label
_atom_site_fract_x
_atom_site_fract_y
_atom_site_fract_z
Ce1 0.000 0.000 0.000
Zr1 0.000 0.500 0.500
U1 0.500 0.000 0.500
U2 0.500 0.500 0.000
As1 0.245 0.000 0.739
As2 0.250 0.500 0.260

=====

# CeZrU2As5 | Alexandria via LeMat-Bulk | PBE-GGA | relaxed
# - Calculated total energy: -7.026 eV per atom
# - Energy of formation from the pure elements: -282.5 kJ/mol of formula units
# - Total moment: 5.134 μB/f.u.
data_CeZrU2As5
_cell_length_a 4.825
_cell_length_b 4.825
_cell_length_c 10.640
_cell_angle_alpha 90.00
_cell_angle_beta 90.00
_cell_angle_gamma 90.00
_symmetry_space_group_name_H-M 'P 4/m m m'
_symmetry_Int_Tables_number 123
_symmetry_space_group_name_Hall '-P 4 2'
loop_
_atom_site_label
_atom_site_fract_x
_atom_site_fract_y
_atom_site_fract_z
Ce1 0.000 0.000 0.000
Zr1 0.000 0.000 0.500
U1 0.500 0.500 0.310
As1 0.000 0.000 0.252
As2 0.000 0.500 0.500
As3 0.500 0.500 0.000

=====

# Ce3YAs4 | Alexandria via LeMat-Bulk | PBE-GGA | relaxed
# - E above lowest polymorph: 2 kJ/mol of formula units
# - Calculated total energy: -6.811 eV per atom
# - Energy of formation from the pure elements: -1121.5 kJ/mol of formula units
# - Total moment: 2.072 μB/f.u.
data_Ce3YAs4
_cell_length_a 5.935
_cell_length_b 5.935
_cell_length_c 11.856
_cell_angle_alpha 90.00
_cell_angle_beta 90.00
_cell_angle_gamma 90.00
_symmetry_space_group_name_H-M 'I 4/m m m'
_symmetry_Int_Tables_number 139
_symmetry_space_group_name_Hall '-I 4 2'
loop_
_atom_site_label
_atom_site_fract_x
_atom_site_fract_y
_atom_site_fract_z
Ce1 0.000 0.000 0.000
Ce2 0.000 0.500 0.250
Y1 0.000 0.000 0.500
As1 0.000 0.000 0.251
As2 0.000 0.500 0.000

=====

# Ce5YAs6 | Alexandria via LeMat-Bulk | PBE-GGA | relaxed
# - Calculated total energy: -6.780 eV per atom
# - Energy of formation from the pure elements: -1672.6 kJ/mol of formula units
# - Total moment: 3.583 μB/f.u.
data_Ce5YAs6
_cell_length_a 7.280
_cell_length_b 12.610
_cell_length_c 7.280
_cell_angle_alpha 90.00
_cell_angle_beta 109.47
_cell_angle_gamma 90.00
_symmetry_space_group_name_H-M 'C 1 2/m 1'
_symmetry_Int_Tables_number 12
loop_
_symmetry_equiv_pos_as_xyz
'x,y,z'
'-x,-y,-z'
'-x,y,-z'
'x,-y,z'
'x+1/2,y+1/2,z'
'-x+1/2,-y+1/2,-z'
'-x+1/2,y+1/2,-z'
'x+1/2,-y+1/2,z'
loop_
_atom_site_label
_atom_site_fract_x
_atom_site_fract_y
_atom_site_fract_z
Ce1 0.000 0.000 0.000
Ce2 0.000 0.166 0.500
Ce3 0.000 0.333 0.000
Y1 0.000 0.500 0.500
As1 0.248 0.334 0.748
As2 0.248 0.500 0.251

=====

# Ce6YAs8 | Alexandria via LeMat-Bulk | PBE-GGA | relaxed
# - Calculated total energy: -6.518 eV per atom
# - Energy of formation from the pure elements: -1785.5 kJ/mol of formula units
# - Total moment: 2.851 μB/f.u.
data_Ce6YAs8
_cell_length_a 11.848
_cell_length_b 11.848
_cell_length_c 11.848
_cell_angle_alpha 90.00
_cell_angle_beta 90.00
_cell_angle_gamma 90.00
_symmetry_space_group_name_H-M 'F m -3 m'
_symmetry_Int_Tables_number 225
_symmetry_space_group_name_Hall '-F 4 2 3'
loop_
_atom_site_label
_atom_site_fract_x
_atom_site_fract_y
_atom_site_fract_z
Ce1 0.000 0.250 0.250
Y1 0.000 0.000 0.000
As1 0.000 0.000 0.248
As2 0.250 0.250 0.250

=====

# Ce2YAs | Alexandria via LeMat-Bulk | PBE-GGA | relaxed
# - Calculated total energy: -6.036 eV per atom
# - Energy of formation from the pure elements: -112.4 kJ/mol of formula units
# - Total moment: 2.253 μB/f.u.
data_Ce2YAs
_cell_length_a 3.7859
_cell_length_b 3.7859
_cell_length_c 30.4089
_cell_angle_alpha 90.00
_cell_angle_beta 90.00
_cell_angle_gamma 120.00
_symmetry_space_group_name_H-M 'R -3 m'
_symmetry_Int_Tables_number 166
_symmetry_space_group_name_Hall '-R 3 2"'
loop_
_atom_site_label
_atom_site_fract_x
_atom_site_fract_y
_atom_site_fract_z
Ce1 0.0000 0.0000 0.1055
Y1 0.0000 0.0000 0.0000
As1 0.0000 0.0000 0.5000

=====

# Ce4YAs5 | Alexandria via LeMat-Bulk | PBE-GGA | relaxed
# - Calculated total energy: -6.793 eV per atom
# - Energy of formation from the pure elements: -1397.5 kJ/mol of formula units
# - Total moment: 2.814 μB/f.u.
data_Ce4YAs5
_cell_length_a 9.389
_cell_length_b 9.389
_cell_length_c 5.942
_cell_angle_alpha 90.00
_cell_angle_beta 90.00
_cell_angle_gamma 90.00
_symmetry_space_group_name_H-M 'I 4/m'
_symmetry_Int_Tables_number 87
_symmetry_space_group_name_Hall '-I 4'
loop_
_atom_site_label
_atom_site_fract_x
_atom_site_fract_y
_atom_site_fract_z
Ce1 0.099 0.700 0.000
Y1 0.000 0.000 0.500
As1 0.000 0.000 0.000
As2 0.100 0.702 0.500